This record from the Alexandria database describes a relaxed structure of YInBi2. The functional is PBE.

Results
* DOS at the Fermi energy: 2.941 states/eV per cell
* energy of formation: -0.403 eV per atom
* density: 8.71 g/cm3

abc: 4.207 4.207 6.696
angles: 90.00 90.00 90.00
Space group P4/mmm (No. 123)
Symmetry-distinct sites (fractional):
Y  0.000  0.000  0.000 [1 per cell]
In  0.000  0.000  0.500 [1 per cell]
Bi  0.500  0.500  0.238 [2 per cell]